Tm3Th2Al4 GGA-PBE relaxed; formation energy = -1.44 eV/f.u.; M_tot = 0.0000 μB/atom; final energy = -4.963 eV per atom; mass density = 7.66 g cm⁻³
1.0
3.286 -8.388 0.000
3.286 8.388 0.000
0.000 0.000 8.486
Tm Th Al
6 4 8
Cartesian
0.000 0.000 0.000
1.643 3.734 2.121
1.643 -3.734 6.364
3.286 0.000 4.243
4.929 3.734 2.121
4.929 -3.734 6.364
3.286 6.641 3.488
3.286 1.747 7.731
3.286 -1.747 0.755
3.286 -6.641 4.998
3.286 5.475 0.367
1.643 0.814 2.121
1.643 -0.814 6.364
3.286 2.913 4.609
3.286 -2.913 3.876
4.929 0.814 2.121
4.929 -0.814 6.364
3.286 -5.475 8.119

=====

Tm3ThAl8 GGA-PBE relaxed; formation energy = -5.70 eV/f.u.; M_tot = 0.0000 μB/atom; final energy = -4.707 eV per atom; mass density = 6.50 g cm⁻³
1.0
2.780 1.605 9.100
-2.780 1.605 9.100
0.000 -3.211 9.100
Tm Th Al
3 1 8
Cartesian
0.000 0.000 0.000
0.000 0.000 3.383
0.000 0.000 17.086
0.000 0.000 13.646
-1.393 -0.804 10.777
0.000 -1.609 6.288
-1.394 0.805 6.288
0.000 0.000 8.547
1.393 -0.804 10.777
0.000 1.608 10.777
1.394 0.805 6.288
0.000 0.000 22.161

=====

Tm2ThAl GGA-PBE relaxed; formation energy = -0.27 eV/f.u.; M_tot = 0.0000 μB/atom; final energy = -5.094 eV per atom; mass density = 8.97 g cm⁻³
1.0
3.029 -1.758 0.000
3.029 1.758 0.000
-2.049 0.000 10.379
Tm Th Al
2 1 1
Cartesian
1.002 0.000 2.334
3.008 0.000 8.045
-1.025 0.000 5.190
3.029 0.000 0.000

=====

Tm3ThAl2 GGA-PBE relaxed; formation energy = -1.53 eV/f.u.; M_tot = 0.0000 μB/atom; final energy = -4.974 eV per atom; mass density = 8.67 g cm⁻³
1.0
3.512 0.000 0.000
0.000 3.512 0.000
0.000 0.000 12.304
Tm Th Al
3 1 2
Cartesian
0.000 0.000 0.000
0.000 0.000 3.686
0.000 0.000 8.618
1.756 1.756 6.152
1.756 1.756 1.842
1.756 1.756 10.462

=====

Tm4ThAl5 GGA-PBE relaxed; formation energy = -3.59 eV/f.u.; M_tot = 0.0000 μB/atom; final energy = -4.761 eV per atom; mass density = 7.51 g cm⁻³
1.0
3.522 0.000 0.000
0.000 3.522 0.000
0.000 0.000 18.580
Tm Th Al
4 1 5
Cartesian
0.000 0.000 1.790
0.000 0.000 5.389
0.000 0.000 13.191
0.000 0.000 16.789
0.000 0.000 9.290
1.761 1.761 0.000
1.761 1.761 3.581
1.761 1.761 7.208
1.761 1.761 11.371
1.761 1.761 14.999

=====

TmThAl GGA-PBE relaxed; formation energy = -0.51 eV/f.u.; M_tot = 0.0000 μB/atom; final energy = -5.382 eV per atom; mass density = 8.80 g cm⁻³
1.0
-1.736 1.736 6.693
1.736 -1.736 6.693
1.736 1.736 -6.693
Tm Th Al
1 1 1
Cartesian
0.000 0.000 0.000
0.000 0.000 9.385
0.000 0.000 4.785

=====

> Which formula does entry 2 have?

Tm3ThAl8